KLiTl3 after structural relaxation. Source: the Alexandria database, functional PBE. Values from VASP.

**Electronic total energy**: -1.4272 eV per atom
**ρ**: 4.7 g cm⁻³
**Formation energy from the elements**: 594.8 meV per atom
**Total magnetization**: 0.0000 μB/atom
**Space-group type**: No. 221

The structure in Quantum ESPRESSO input format:
```
&SYSTEM
  ibrav = 0, nat = 5, ntyp = 3
/
ATOMIC_SPECIES
K 39.10 K.upf
Li 6.94 Li.upf
Tl 204.38 Tl.upf
CELL_PARAMETERS angstrom
6.157 0.000 0.000
0.000 6.157 0.000
0.000 0.000 6.157
ATOMIC_POSITIONS crystal
K 0.000 0.000 0.000
Li 0.500 0.500 0.500
Tl 0.000 0.000 0.500
Tl 0.000 0.500 0.000
Tl 0.500 0.000 0.000
```

AlPW after structural relaxation. Source: the Alexandria database, functional PBE. Values from VASP.

**Electronic total energy**: -7.6882 eV per atom
**ρ**: 9.4 g cm⁻³
**Formation energy from the elements**: -319.7 meV per atom
**Total magnetization**: 0.0000 μB/atom
**Space-group type**: No. 107

The structure in Quantum ESPRESSO input format:
```
&SYSTEM
  ibrav = 0, nat = 3, ntyp = 3
/
ATOMIC_SPECIES
Al 26.98 Al.upf
P 30.97 P.upf
W 183.84 W.upf
CELL_PARAMETERS angstrom
-1.599 1.599 4.155
1.599 -1.599 4.155
1.599 1.599 -4.155
ATOMIC_POSITIONS crystal
Al 0.000 0.000 0.000
P 0.322 0.322 0.000
W 0.684 0.684 0.000
```

ZrCoN2 after structural relaxation. Source: the Alexandria database, functional PBE. Values from VASP.

**Electronic total energy**: -8.2284 eV per atom
**ρ**: 7.3 g cm⁻³
**Total magnetization**: 0.7304 μB/atom
**Space-group type**: No. 225

The structure in Quantum ESPRESSO input format:
```
&SYSTEM
  ibrav = 0, nat = 4, ntyp = 3
/
ATOMIC_SPECIES
Zr 91.22 Zr.upf
Co 58.93 Co.upf
N 14.01 N.upf
CELL_PARAMETERS angstrom
0.000 2.725 2.725
2.725 0.000 2.725
2.725 2.725 0.000
ATOMIC_POSITIONS crystal
Zr 0.000 0.000 0.000
Co 0.500 0.500 0.500
N 0.250 0.250 0.250
N 0.750 0.750 0.750
```

> total magnetization of number 1 (KLiTl3)?

0.0000 μB/atom

> total magnetization of number 2 (AlPW)?

0.0000 μB/atom

> Which formula does entry 2 have?

AlPW